[1]
Density functional theory data (GGA-PBE) for a geometry-optimized K2ZnCuCl6 structure.

Structure (extended XYZ):
```
20
Lattice="6.973 0.000 0.000 3.487 6.039 0.000 3.487 2.013 11.804" Properties=species:S:1:pos:R:3 pbc="T T T"
Cl 8.645 3.061 4.415
Cl 8.725 3.015 10.368
Cl 5.222 3.015 10.368
Cl 6.973 2.003 1.436
Cl 5.301 3.061 4.415
Cl 6.973 6.049 10.368
Cl 5.222 5.037 1.436
Cl 6.973 5.957 4.415
Cl 8.645 4.991 7.389
Cl 8.725 5.037 1.436
Cl 6.973 2.095 7.389
Cl 5.301 4.991 7.389
K 3.487 2.013 1.298
K 10.460 6.039 10.506
K 10.460 6.039 4.256
K 3.487 2.013 7.548
Zn 6.973 4.026 2.850
Zn 6.973 4.026 8.954
Cu 6.973 4.026 5.902
Cu 0.000 0.000 0.000
```

## Properties
Its total DFT energy (no corrections) is -61.8 eV/cell. The calculation puts the calculated volume at 248.5 Å³/f.u. The energy relative to the elements, uncorrected is -1.2234 eV/atom. Its crystal system is trigonal.

[2]
Density functional theory data (GGA-PBE) for a geometry-optimized Li3Ag4Pd3 structure.

Structure (extended XYZ):
```
10
Lattice="3.007 0.000 0.000 0.000 7.335 -0.116 0.000 -0.051 7.335" Properties=species:S:1:pos:R:3 pbc="T T T"
Ag 0.000 4.710 2.532
Ag 0.000 0.863 1.172
Ag 0.000 6.104 6.367
Ag 0.000 2.749 4.511
Pd 0.000 3.439 7.274
Pd 0.000 -0.020 3.844
Pd 1.504 1.114 6.160
Li 1.504 5.058 4.625
Li 1.504 6.092 1.138
Li 1.504 2.615 2.202
```

## Properties
Its total DFT energy (no corrections) is -33.6 eV/cell. The calculation puts the calculated volume at 161.8 Å³/f.u. The calculation puts the energy relative to the elements at -0.09 eV/atom. Its crystal system is orthorhombic.

[3]
Density functional theory data (GGA-PBE) for a geometry-optimized TiV2CdBr structure.

Structure (extended XYZ):
```
5
Lattice="5.109 0.000 0.000 0.000 5.381 0.000 0.000 0.000 5.109" Properties=species:S:1:pos:R:3 pbc="T T T"
Cd 0.000 0.000 0.000
Ti 2.555 2.690 2.555
V 2.555 0.000 0.000
V 0.000 0.000 2.555
Br 0.000 2.690 0.000
```

## Properties
Its total DFT energy (no corrections) is -19.7 eV/cell. The calculation puts the calculated volume at 140.5 Å³/f.u. The energy relative to the elements, uncorrected is 1.8099 eV/atom. Its crystal system is tetragonal.

[4]
Density functional theory data (GGA-PBE) for a geometry-optimized Tb4CdIn structure.

Structure (extended XYZ):
```
6
Lattice="5.147 0.000 -0.002 0.000 5.148 -0.002 0.004 0.006 7.430" Properties=species:S:1:pos:R:3 pbc="T T T"
Tb 0.010 2.565 5.521
Tb 0.007 2.561 1.879
Tb 2.581 5.134 1.877
Tb 2.583 5.140 5.519
In 2.584 2.566 7.415
Cd 0.008 5.137 3.699
```

## Properties
Its total DFT energy (no corrections) is -22.1 eV/cell. The calculation puts the calculated volume at 196.9 Å³/f.u. The calculation puts the energy relative to the elements at 0.01 eV/atom. Its crystal system is tetragonal.

[5]
Density functional theory data (GGA-PBE) for a geometry-optimized ScTlGeI6 structure.

Structure (extended XYZ):
```
9
Lattice="7.655 0.001 0.000 3.828 6.629 0.000 0.000 0.000 7.663" Properties=species:S:1:pos:R:3 pbc="T T T"
I 9.001 2.472 2.143
I 6.309 2.473 5.520
I 10.015 4.229 5.520
I 5.296 4.228 2.143
I 8.670 6.559 2.143
I 6.642 6.559 5.519
Ge 3.827 2.210 3.832
Tl 7.655 0.001 7.663
Sc 7.655 4.419 3.831
```

## Properties
Its total DFT energy (no corrections) is -29.8 eV/cell. The calculation puts the calculated volume at 388.8 Å³/f.u. The energy relative to the elements, uncorrected is -0.7962 eV/atom. Its crystal system is trigonal.

[6]
Density functional theory data (GGA-PBE) for a geometry-optimized Rb2LiErCl6 structure.

Structure (extended XYZ):
```
10
Lattice="-5.299 0.509 -5.104 -1.761 -5.880 -4.086 -6.456 -3.410 1.034" Properties=species:S:1:pos:R:3 pbc="T T T"
Er -0.001 0.000 0.000
Cl -7.487 -6.836 -3.567
Cl -9.252 -3.648 -4.074
Cl -4.266 -5.135 -4.083
Cl -6.910 -4.881 -6.629
Cl -6.608 -3.902 -1.528
Cl -6.030 -1.947 -4.590
Rb -3.379 -2.195 -2.039
Rb -10.138 -6.587 -6.117
Li -6.758 -4.391 -4.078
```

## Properties
Its total DFT energy (no corrections) is -40.5 eV/cell. The calculation puts the calculated volume at 283.5 Å³/f.u. The energy relative to the elements, uncorrected is -2.1013 eV/atom. Its crystal system is cubic.

[7]
Density functional theory data (GGA-PBE) for a geometry-optimized ErTmHgOs structure.

Structure (extended XYZ):
```
4
Lattice="3.420 0.000 0.000 0.000 3.420 0.000 0.000 0.000 7.542" Properties=species:S:1:pos:R:3 pbc="T T T"
Tm 1.710 1.710 2.666
Er 1.710 1.710 5.947
Hg 0.000 0.000 0.550
Os 0.000 0.000 4.297
```

## Properties
Its total DFT energy (no corrections) is -22.3 eV/cell. The calculation puts the calculated volume at 88.2 Å³/f.u. The calculation puts the energy relative to the elements at -0.43 eV/atom. Its crystal system is tetragonal.

[8]
Density functional theory data (GGA-PBE) for a geometry-optimized CaMg2Ta structure.

Structure (extended XYZ):
```
4
Lattice="-4.158 9.556 3.290 -4.244 8.042 6.061 -1.600 9.508 5.144" Properties=species:S:1:pos:R:3 pbc="T T T"
Mg -5.074 13.752 7.353
Mg -9.929 26.908 14.389
Ta -2.500 6.777 3.624
Ca -7.501 20.330 10.871
```

## Properties
Its total DFT energy (no corrections) is -15.5 eV/cell. The calculation puts the calculated volume at 93.1 Å³/f.u. The calculation puts the energy relative to the elements at 0.38 eV/atom. Its crystal system is trigonal.